[1]
# CaPt2Cl (GGA-PBE, optimized geometry)
data_CaPt2Cl
_symmetry_space_group_name_H-M 'P 1'
_symmetry_Int_Tables_number 1
_symmetry_space_group_name_Hall 'P 1'
_cell_length_a 4.0929
_cell_length_b 4.0929
_cell_length_c 5.1595
_cell_angle_alpha 90.00
_cell_angle_beta 90.00
_cell_angle_gamma 90.00
loop_
_atom_site_label
_atom_site_type_symbol
_atom_site_fract_x
_atom_site_fract_y
_atom_site_fract_z
Pt1 Pt 0.0000 0.0000 0.4956
Pt2 Pt 0.0000 0.0000 0.0044
Ca1 Ca 0.5000 0.5000 0.2500
Cl1 Cl 0.5000 0.5000 0.7500
# - Raw formation energy: -117 kJ/mol of formula units
# - Energy relative to the lowest polymorph listed for this composition: 0.558 eV/atom


[2]
# TiGaCu (GGA-PBE, optimized geometry)
data_TiGaCu
_symmetry_space_group_name_H-M 'P 1'
_symmetry_Int_Tables_number 1
_symmetry_space_group_name_Hall 'P 1'
_cell_length_a 3.0376
_cell_length_b 4.0506
_cell_length_c 7.2415
_cell_angle_alpha 90.00
_cell_angle_beta 90.00
_cell_angle_gamma 90.00
loop_
_atom_site_label
_atom_site_type_symbol
_atom_site_fract_x
_atom_site_fract_y
_atom_site_fract_z
Cu1 Cu 0.3394 0.6370 0.6185
Cu2 Cu 0.8394 0.1371 0.7025
Ga1 Ga 0.8378 0.6375 0.9057
Ga2 Ga 0.3378 0.1374 0.4153
Ti1 Ti 0.8377 0.6375 0.2755
Ti2 Ti 0.3377 0.1375 0.0455
# - E_form: -0.29 eV/atom


[3]
# ZrCrCd (GGA-PBE, optimized geometry)
data_ZrCrCd
_symmetry_space_group_name_H-M 'P 1'
_symmetry_Int_Tables_number 1
_symmetry_space_group_name_Hall 'P 1'
_cell_length_a 6.2515
_cell_length_b 6.2515
_cell_length_c 6.2515
_cell_angle_alpha 150.61
_cell_angle_beta 150.61
_cell_angle_gamma 42.04
loop_
_atom_site_label
_atom_site_type_symbol
_atom_site_fract_x
_atom_site_fract_y
_atom_site_fract_z
Cr1 Cr 0.3309 0.3309 0.0000
Cd1 Cd 0.9872 0.9872 0.0000
Zr1 Zr 0.6818 0.6818 0.0000
# - E_form: 0.19 eV/atom
# - Energy relative to the lowest polymorph listed for this composition: 0.000 eV/atom


[4]
# K3CaMo (GGA-PBE, optimized geometry)
data_K3CaMo
_symmetry_space_group_name_H-M 'P 1'
_symmetry_Int_Tables_number 1
_symmetry_space_group_name_Hall 'P 1'
_cell_length_a 7.3302
_cell_length_b 7.3302
_cell_length_c 7.3302
_cell_angle_alpha 90.00
_cell_angle_beta 90.00
_cell_angle_gamma 90.00
loop_
_atom_site_label
_atom_site_type_symbol
_atom_site_fract_x
_atom_site_fract_y
_atom_site_fract_z
K1 K 0.5000 0.0000 0.0000
K2 K 0.0000 0.0000 0.5000
K3 K 0.0000 0.5000 0.0000
Ca1 Ca 0.0000 0.0000 0.0000
Mo1 Mo 0.5000 0.5000 0.5000
# - E_form: 1.51 eV/atom
# - Energy relative to the lowest polymorph listed for this composition: 0.316 eV/atom


[5]
# Te2HF (GGA-PBE, optimized geometry)
data_Te2HF
_symmetry_space_group_name_H-M 'P 1'
_symmetry_Int_Tables_number 1
_symmetry_space_group_name_Hall 'P 1'
_cell_length_a 4.5120
_cell_length_b 4.5120
_cell_length_c 8.3435
_cell_angle_alpha 74.31
_cell_angle_beta 74.31
_cell_angle_gamma 90.00
loop_
_atom_site_label
_atom_site_type_symbol
_atom_site_fract_x
_atom_site_fract_y
_atom_site_fract_z
Te1 Te 0.5737 0.1250 0.2500
Te2 Te 0.3750 0.4263 0.7500
Te3 Te 0.8750 0.8237 0.7500
Te4 Te 0.1763 0.6250 0.2500
F1 F 0.0000 0.0000 0.0000
F2 F 0.7500 0.2500 0.5000
H1 H 0.5000 0.5000 0.0000
H2 H 0.2500 0.7500 0.5000
# - Energy relative to the lowest polymorph listed for this composition: 0.126 eV/atom


[6]
# Tb2Sm6DyHo (GGA-PBE, optimized geometry)
data_Tb2Sm6DyHo
_symmetry_space_group_name_H-M 'P 1'
_symmetry_Int_Tables_number 1
_symmetry_space_group_name_Hall 'P 1'
_cell_length_a 9.6461
_cell_length_b 8.8799
_cell_length_c 8.8799
_cell_angle_alpha 117.93
_cell_angle_beta 94.04
_cell_angle_gamma 94.04
loop_
_atom_site_label
_atom_site_type_symbol
_atom_site_fract_x
_atom_site_fract_y
_atom_site_fract_z
Sm1 Sm 0.1864 0.5681 0.0149
Sm2 Sm 0.8136 0.4319 0.9851
Sm3 Sm 0.9452 0.8798 0.2434
Sm4 Sm 0.4452 0.2434 0.8798
Sm5 Sm 0.3803 0.5059 0.2914
Sm6 Sm 0.8803 0.2914 0.5059
Sm7 Sm 0.0548 0.1202 0.7566
Sm8 Sm 0.1197 0.7086 0.4941
Sm9 Sm 0.6197 0.4941 0.7086
Sm10 Sm 0.6864 0.0149 0.5681
Sm11 Sm 0.3136 0.9851 0.4319
Sm12 Sm 0.5548 0.7566 0.1202
Tb1 Tb 0.5443 0.1988 0.2993
Tb2 Tb 0.4557 0.8012 0.7007
Tb3 Tb 0.0443 0.2993 0.1988
Tb4 Tb 0.9557 0.7007 0.8012
Ho1 Ho 0.2500 0.4092 0.5908
Ho2 Ho 0.7500 0.5908 0.4092
Dy1 Dy 0.2500 0.9753 0.0247
Dy2 Dy 0.7500 0.0247 0.9753
# - E_form: 0.12 eV/atom


[7]
# Tl2InS (GGA-PBE, optimized geometry)
data_Tl2InS
_symmetry_space_group_name_H-M 'P 1'
_symmetry_Int_Tables_number 1
_symmetry_space_group_name_Hall 'P 1'
_cell_length_a 6.0953
_cell_length_b 3.7483
_cell_length_c 6.2898
_cell_angle_alpha 101.50
_cell_angle_beta 118.98
_cell_angle_gamma 90.00
loop_
_atom_site_label
_atom_site_type_symbol
_atom_site_fract_x
_atom_site_fract_y
_atom_site_fract_z
S1 S 0.0000 0.5000 0.0000
Tl1 Tl 0.1992 0.1360 0.3984
Tl2 Tl 0.8008 0.8640 0.6016
In1 In 0.5000 0.5000 0.0000
# - Raw formation energy: -33 kJ/mol of formula units
# - Energy relative to the lowest polymorph listed for this composition: 0.027 eV/atom


[8]
# BaTlTeI (GGA-PBE, optimized geometry)
data_BaTlTeI
_symmetry_space_group_name_H-M 'P 1'
_symmetry_Int_Tables_number 1
_symmetry_space_group_name_Hall 'P 1'
_cell_length_a 5.9893
_cell_length_b 5.9893
_cell_length_c 5.9893
_cell_angle_alpha 60.00
_cell_angle_beta 60.00
_cell_angle_gamma 60.00
loop_
_atom_site_label
_atom_site_type_symbol
_atom_site_fract_x
_atom_site_fract_y
_atom_site_fract_z
Tl1 Tl 0.0000 0.0000 0.0000
I1 I 0.7500 0.7500 0.7500
Ba1 Ba 0.5000 0.5000 0.5000
Te1 Te 0.2500 0.2500 0.2500
# - Raw formation energy: -442 kJ/mol of formula units
# - Energy relative to the lowest polymorph listed for this composition: 0.057 eV/atom


[9]
# NaSr2AgF (GGA-PBE, optimized geometry)
data_NaSr2AgF
_symmetry_space_group_name_H-M 'P 1'
_symmetry_Int_Tables_number 1
_symmetry_space_group_name_Hall 'P 1'
_cell_length_a 5.3616
_cell_length_b 5.3616
_cell_length_c 4.7218
_cell_angle_alpha 90.00
_cell_angle_beta 90.00
_cell_angle_gamma 90.00
loop_
_atom_site_label
_atom_site_type_symbol
_atom_site_fract_x
_atom_site_fract_y
_atom_site_fract_z
Ag1 Ag 0.5000 0.5000 0.5000
Sr1 Sr 0.0000 0.5000 0.0000
Sr2 Sr 0.5000 0.0000 0.0000
Na1 Na 0.0000 0.0000 0.5000
F1 F 0.0000 0.0000 0.0000
# - Raw formation energy: -544 kJ/mol of formula units


[10]
# NaCoBi3 (GGA-PBE, optimized geometry)
data_NaCoBi3
_symmetry_space_group_name_H-M 'P 1'
_symmetry_Int_Tables_number 1
_symmetry_space_group_name_Hall 'P 1'
_cell_length_a 5.2376
_cell_length_b 5.2376
_cell_length_c 5.2376
_cell_angle_alpha 90.00
_cell_angle_beta 90.00
_cell_angle_gamma 90.00
loop_
_atom_site_label
_atom_site_type_symbol
_atom_site_fract_x
_atom_site_fract_y
_atom_site_fract_z
Bi1 Bi 0.0000 0.0000 0.5000
Bi2 Bi 0.5000 0.0000 0.0000
Bi3 Bi 0.0000 0.5000 0.0000
Na1 Na 0.5000 0.5000 0.5000
Co1 Co 0.0000 0.0000 0.0000
# - E_form: 0.18 eV/atom
# - Energy relative to the lowest polymorph listed for this composition: 0.000 eV/atom


[11]
# Mn21Rh2N6 (GGA-PBE, optimized geometry)
data_Mn21Rh2N6
_symmetry_space_group_name_H-M 'P 1'
_symmetry_Int_Tables_number 1
_symmetry_space_group_name_Hall 'P 1'
_cell_length_a 7.3973
_cell_length_b 7.3973
_cell_length_c 7.3973
_cell_angle_alpha 60.00
_cell_angle_beta 60.00
_cell_angle_gamma 60.00
loop_
_atom_site_label
_atom_site_type_symbol
_atom_site_fract_x
_atom_site_fract_y
_atom_site_fract_z
N1 N 0.2741 0.2741 0.7259
N2 N 0.7259 0.7259 0.2741
N3 N 0.7259 0.2741 0.2741
N4 N 0.2741 0.7259 0.7259
N5 N 0.2741 0.7259 0.2741
N6 N 0.7259 0.2741 0.7259
Mn1 Mn 0.3290 0.0000 0.6710
Mn2 Mn 0.6710 0.0000 0.3290
Mn3 Mn 0.3856 0.3856 0.8433
Mn4 Mn 0.0000 0.3290 0.0000
Mn5 Mn 0.0000 0.3290 0.6710
Mn6 Mn 0.6144 0.6144 0.6144
Mn7 Mn 0.6144 0.1567 0.6144
Mn8 Mn 0.6710 0.3290 0.0000
Mn9 Mn 0.1567 0.6144 0.6144
Mn10 Mn 0.8433 0.3856 0.3856
Mn11 Mn 0.0000 0.0000 0.0000
Mn12 Mn 0.3290 0.0000 0.0000
Mn13 Mn 0.0000 0.6710 0.3290
Mn14 Mn 0.6144 0.6144 0.1567
Mn15 Mn 0.0000 0.6710 0.0000
Mn16 Mn 0.0000 0.0000 0.3290
Mn17 Mn 0.6710 0.0000 0.0000
Mn18 Mn 0.3290 0.6710 0.0000
Mn19 Mn 0.0000 0.0000 0.6710
Mn20 Mn 0.3856 0.8433 0.3856
Mn21 Mn 0.3856 0.3856 0.3856
Rh1 Rh 0.7500 0.7500 0.7500
Rh2 Rh 0.2500 0.2500 0.2500
# - Raw formation energy: -11 kJ/mol of formula units


[12]
# Na6PaF12 (GGA-PBE, optimized geometry)
data_Na6PaF12
_symmetry_space_group_name_H-M 'P 1'
_symmetry_Int_Tables_number 1
_symmetry_space_group_name_Hall 'P 1'
_cell_length_a 6.8068
_cell_length_b 6.8068
_cell_length_c 6.8068
_cell_angle_alpha 99.36
_cell_angle_beta 99.36
_cell_angle_gamma 99.36
loop_
_atom_site_label
_atom_site_type_symbol
_atom_site_fract_x
_atom_site_fract_y
_atom_site_fract_z
Na1 Na 0.6381 0.8464 0.3972
Na2 Na 0.3972 0.6381 0.8464
Na3 Na 0.6028 0.3619 0.1536
Na4 Na 0.8464 0.3972 0.6381
Na5 Na 0.1536 0.6028 0.3619
Na6 Na 0.3619 0.1536 0.6028
F1 F 0.7037 0.8888 0.0400
F2 F 0.4033 0.8259 0.6006
F3 F 0.1112 0.9600 0.2963
F4 F 0.5967 0.1741 0.3994
F5 F 0.8888 0.0400 0.7037
F6 F 0.2963 0.1112 0.9600
F7 F 0.8259 0.6006 0.4033
F8 F 0.3994 0.5967 0.1741
F9 F 0.1741 0.3994 0.5967
F10 F 0.0400 0.7037 0.8888
F11 F 0.6006 0.4033 0.8259
F12 F 0.9600 0.2963 0.1112
Pa1 Pa 0.0000 0.0000 0.0000
# - Raw formation energy: -5336 kJ/mol of formula units


[13]
# PmSm2Tm7 (GGA-PBE, optimized geometry)
data_PmSm2Tm7
_symmetry_space_group_name_H-M 'P 1'
_symmetry_Int_Tables_number 1
_symmetry_space_group_name_Hall 'P 1'
_cell_length_a 6.0903
_cell_length_b 10.5387
_cell_length_c 11.1136
_cell_angle_alpha 137.27
_cell_angle_beta 57.04
_cell_angle_gamma 140.01
loop_
_atom_site_label
_atom_site_type_symbol
_atom_site_fract_x
_atom_site_fract_y
_atom_site_fract_z
Pm1 Pm 0.0000 0.0000 0.0000
Tm1 Tm 0.7011 0.3002 0.1994
Tm2 Tm 0.1019 0.9016 0.6007
Tm3 Tm 0.5000 0.5000 0.0000
Tm4 Tm 0.8017 0.2021 0.8013
Tm5 Tm 0.8981 0.0984 0.3993
Tm6 Tm 0.1983 0.7979 0.1987
Tm7 Tm 0.2989 0.6998 0.8006
Sm1 Sm 0.5958 0.3973 0.5994
Sm2 Sm 0.4042 0.6027 0.4006
# - E_form: 0.02 eV/atom
# - Energy relative to the lowest polymorph listed for this composition: 0.000 eV/atom


[14]
# TlPO2 (GGA-PBE, optimized geometry)
data_TlPO2
_symmetry_space_group_name_H-M 'P 1'
_symmetry_Int_Tables_number 1
_symmetry_space_group_name_Hall 'P 1'
_cell_length_a 7.3497
_cell_length_b 7.3497
_cell_length_c 7.3497
_cell_angle_alpha 26.12
_cell_angle_beta 26.12
_cell_angle_gamma 26.12
loop_
_atom_site_label
_atom_site_type_symbol
_atom_site_fract_x
_atom_site_fract_y
_atom_site_fract_z
P1 P 0.0000 0.0000 0.0000
O1 O 0.0724 0.0724 0.0724
O2 O 0.9276 0.9276 0.9276
Tl1 Tl 0.5000 0.5000 0.5000
# - Raw formation energy: -296 kJ/mol of formula units
# - Energy relative to the lowest polymorph listed for this composition: 0.000 eV/atom


[15]
# RbBaLi2Ag (GGA-PBE, optimized geometry)
data_RbBaLi2Ag
_symmetry_space_group_name_H-M 'P 1'
_symmetry_Int_Tables_number 1
_symmetry_space_group_name_Hall 'P 1'
_cell_length_a 5.7004
_cell_length_b 5.7004
_cell_length_c 6.2453
_cell_angle_alpha 90.00
_cell_angle_beta 90.00
_cell_angle_gamma 90.00
loop_
_atom_site_label
_atom_site_type_symbol
_atom_site_fract_x
_atom_site_fract_y
_atom_site_fract_z
Ag1 Ag 0.0000 0.0000 0.0000
Li1 Li 0.0000 0.5000 0.0000
Li2 Li 0.5000 0.0000 0.0000
Ba1 Ba 0.0000 0.0000 0.5000
Rb1 Rb 0.5000 0.5000 0.5000
# - E_form: 0.11 eV/atom


[16]
# Na6Cd2In (GGA-PBE, optimized geometry)
data_Na6Cd2In
_symmetry_space_group_name_H-M 'P 1'
_symmetry_Int_Tables_number 1
_symmetry_space_group_name_Hall 'P 1'
_cell_length_a 5.9029
_cell_length_b 9.3244
_cell_length_c 10.1179
_cell_angle_alpha 90.00
_cell_angle_beta 73.83
_cell_angle_gamma 90.00
loop_
_atom_site_label
_atom_site_type_symbol
_atom_site_fract_x
_atom_site_fract_y
_atom_site_fract_z
Cd1 Cd 0.0553 0.6446 0.2494
Cd2 Cd 0.9447 0.3554 0.7506
Cd3 Cd 0.5553 0.8554 0.7494
Cd4 Cd 0.4447 0.1446 0.2506
Na1 Na 0.9924 0.3332 0.4181
Na2 Na 0.0380 0.6658 0.9307
Na3 Na 0.9620 0.3342 0.0693
Na4 Na 0.4924 0.1668 0.9181
Na5 Na 0.0258 0.0057 0.8141
Na6 Na 0.5076 0.8332 0.0819
Na7 Na 0.9742 0.9943 0.1859
Na8 Na 0.4620 0.1658 0.5693
Na9 Na 0.4742 0.5057 0.6859
Na10 Na 0.0076 0.6668 0.5819
Na11 Na 0.5258 0.4943 0.3141
Na12 Na 0.5380 0.8342 0.4307
In1 In 0.0000 0.0000 0.5000
In2 In 0.5000 0.5000 0.0000
# - E_form: -0.03 eV/atom
# - Energy relative to the lowest polymorph listed for this composition: 0.020 eV/atom


[17]
# CeVGe2Mo (GGA-PBE, optimized geometry)
data_CeVGe2Mo
_symmetry_space_group_name_H-M 'P 1'
_symmetry_Int_Tables_number 1
_symmetry_space_group_name_Hall 'P 1'
_cell_length_a 3.9615
_cell_length_b 3.9615
_cell_length_c 6.5262
_cell_angle_alpha 107.67
_cell_angle_beta 107.67
_cell_angle_gamma 90.00
loop_
_atom_site_label
_atom_site_type_symbol
_atom_site_fract_x
_atom_site_fract_y
_atom_site_fract_z
Mo1 Mo 0.2500 0.7500 0.5000
Ce1 Ce 0.0000 0.0000 0.0000
Ge1 Ge 0.3897 0.3897 0.7795
Ge2 Ge 0.6103 0.6103 0.2205
V1 V 0.7500 0.2500 0.5000
# - E_form: -0.43 eV/atom


[18]
# TbSi2Pd7 (GGA-PBE, optimized geometry)
data_TbSi2Pd7
_symmetry_space_group_name_H-M 'P 1'
_symmetry_Int_Tables_number 1
_symmetry_space_group_name_Hall 'P 1'
_cell_length_a 4.4785
_cell_length_b 6.8998
_cell_length_c 6.8998
_cell_angle_alpha 115.81
_cell_angle_beta 90.00
_cell_angle_gamma 90.00
loop_
_atom_site_label
_atom_site_type_symbol
_atom_site_fract_x
_atom_site_fract_y
_atom_site_fract_z
Pd1 Pd 0.5000 0.5000 0.5000
Pd2 Pd 0.5000 0.0623 0.3199
Pd3 Pd 0.5000 0.6801 0.9377
Pd4 Pd 0.0000 0.7565 0.2435
Pd5 Pd 0.5000 0.3199 0.0623
Pd6 Pd 0.0000 0.2435 0.7565
Pd7 Pd 0.5000 0.9377 0.6801
Tb1 Tb 0.0000 0.0000 0.0000
Si1 Si 0.5000 0.6982 0.3018
Si2 Si 0.5000 0.3018 0.6982
# - Raw formation energy: -439 kJ/mol of formula units
# - Energy relative to the lowest polymorph listed for this composition: 0.297 eV/atom


[19]
# Ta3TcN (GGA-PBE, optimized geometry)
data_Ta3TcN
_symmetry_space_group_name_H-M 'P 1'
_symmetry_Int_Tables_number 1
_symmetry_space_group_name_Hall 'P 1'
_cell_length_a 4.7680
_cell_length_b 4.7680
_cell_length_c 4.7680
_cell_angle_alpha 90.00
_cell_angle_beta 90.00
_cell_angle_gamma 90.00
loop_
_atom_site_label
_atom_site_type_symbol
_atom_site_fract_x
_atom_site_fract_y
_atom_site_fract_z
Tc1 Tc 0.0000 0.0000 0.0000
N1 N 0.5000 0.5000 0.5000
Ta1 Ta 0.0000 0.5000 0.0000
Ta2 Ta 0.0000 0.0000 0.5000
Ta3 Ta 0.5000 0.0000 0.0000
# - Raw formation energy: 1057 kJ/mol of formula units
# - Energy relative to the lowest polymorph listed for this composition: 2.590 eV/atom


[20]
# SnP2CS (GGA-PBE, optimized geometry)
data_SnP2CS
_symmetry_space_group_name_H-M 'P 1'
_symmetry_Int_Tables_number 1
_symmetry_space_group_name_Hall 'P 1'
_cell_length_a 4.1161
_cell_length_b 4.1161
_cell_length_c 4.5590
_cell_angle_alpha 90.00
_cell_angle_beta 90.00
_cell_angle_gamma 90.00
loop_
_atom_site_label
_atom_site_type_symbol
_atom_site_fract_x
_atom_site_fract_y
_atom_site_fract_z
S1 S 0.0000 0.0000 0.5000
P1 P 0.5000 0.0000 0.0000
P2 P 0.0000 0.5000 0.0000
C1 C 0.0000 0.0000 0.0000
Sn1 Sn 0.5000 0.5000 0.5000
# - Raw formation energy: 489 kJ/mol of formula units
# - Energy relative to the lowest polymorph listed for this composition: 0.000 eV/atom


Computed values of energy (unit: eV for the cell shown) for the preceding records, in sequence: -17.14; -31.75; -18.52; -8.60; -23.48; -91.15; -11.94; -13.57; -15.04; -19.16; -257.33; -95.17; -45.26; -20.76; -9.02; -25.49; -37.25; -56.37; -43.30; -23.10.